Entry 1:
First-principles (PBE) data for a relaxed K2CuCl5 crystal, as listed in Alexandria via LeMat-Bulk.

CIF file:
```
data_K2CuCl5
_cell_length_a 6.8147
_cell_length_b 6.8147
_cell_length_c 4.8504
_cell_angle_alpha 90.00
_cell_angle_beta 90.00
_cell_angle_gamma 90.00
_symmetry_space_group_name_H-M 'P 1'
_symmetry_Int_Tables_number 1
_symmetry_space_group_name_Hall 'P 1'
loop_
_atom_site_label
_atom_site_fract_x
_atom_site_fract_y
_atom_site_fract_z
K1 0.0000 0.5000 0.0000
K2 0.5000 0.0000 0.0000
Cu1 0.0000 0.0000 0.5000
Cl1 0.0000 0.0000 0.0000
Cl2 0.2413 0.2413 0.5000
Cl3 0.2413 0.7587 0.5000
Cl4 0.7587 0.2413 0.5000
Cl5 0.7587 0.7587 0.5000
```

Properties
N(E_F) in states/eV/f.u.: 3.49
Formation energy from raw total energies in eV per atom: -1.146
Space-group type: P4/mmm
ρ in g/cm3: 2.352
Energy relative to the lowest polymorph listed for this composition in meV/atom: 19
Final energy in eV per atom: -3.086
Crystal system: tetragonal

---

Entry 2:
First-principles (PBE) data for a relaxed Cs2TlSb2 crystal, as listed in Alexandria via LeMat-Bulk.

CIF file:
```
data_Cs2TlSb2
_cell_length_a 11.4762
_cell_length_b 11.4762
_cell_length_c 3.4277
_cell_angle_alpha 90.00
_cell_angle_beta 90.00
_cell_angle_gamma 90.00
_symmetry_space_group_name_H-M 'P 1'
_symmetry_Int_Tables_number 1
_symmetry_space_group_name_Hall 'P 1'
loop_
_atom_site_label
_atom_site_fract_x
_atom_site_fract_y
_atom_site_fract_z
Cs1 0.1189 0.3811 0.0000
Cs2 0.3811 0.8811 0.0000
Cs3 0.6189 0.1189 0.0000
Cs4 0.8811 0.6189 0.0000
Tl1 0.0000 0.0000 0.0000
Tl2 0.5000 0.5000 0.0000
Sb1 0.1793 0.6793 0.5000
Sb2 0.3207 0.1793 0.5000
Sb3 0.6793 0.8207 0.5000
Sb4 0.8207 0.3207 0.5000
```

Properties
N(E_F) in states/eV/f.u.: 4.14
Formation energy from raw total energies in eV per atom: 0.047
Space-group type: P4/mbm
ρ in g/cm3: 5.250
Energy relative to the lowest polymorph listed for this composition in meV/atom: 380
Final energy in eV per atom: -2.416
Crystal system: tetragonal

---

Entry 3:
First-principles (PBE) data for a relaxed ScFe2W crystal, as listed in Alexandria via LeMat-Bulk.

CIF file:
```
data_ScFe2W
_cell_length_a 6.6830
_cell_length_b 6.6830
_cell_length_c 5.5245
_cell_angle_alpha 90.00
_cell_angle_beta 90.00
_cell_angle_gamma 90.00
_symmetry_space_group_name_H-M 'P 1'
_symmetry_Int_Tables_number 1
_symmetry_space_group_name_Hall 'P 1'
loop_
_atom_site_label
_atom_site_fract_x
_atom_site_fract_y
_atom_site_fract_z
Sc1 0.0000 0.0000 0.0000
Sc2 0.0000 0.5000 0.2500
Sc3 0.5000 0.0000 0.7500
Sc4 0.5000 0.5000 0.5000
Fe1 0.2203 0.2500 0.6250
Fe2 0.2500 0.7203 0.8750
Fe3 0.2500 0.7797 0.3750
Fe4 0.2797 0.2500 0.1250
Fe5 0.7203 0.7500 0.1250
Fe6 0.7500 0.2203 0.3750
Fe7 0.7500 0.2797 0.8750
Fe8 0.7797 0.7500 0.6250
W1 0.0000 0.0000 0.5000
W2 0.0000 0.5000 0.7500
W3 0.5000 0.0000 0.2500
W4 0.5000 0.5000 0.0000
```

Properties
N(E_F) in states/eV/f.u.: 4.65
Space-group type: I-42d
ρ in g/cm3: 9.166
E_form in eV per formula unit: 2.233
Final energy in eV per atom: -8.494
Crystal system: tetragonal

---

Entry 4:
First-principles (PBE) data for a relaxed AgPbCl2 crystal, as listed in Alexandria via LeMat-Bulk.

CIF file:
```
data_AgPbCl2
_cell_length_a 5.0934
_cell_length_b 5.1740
_cell_length_c 7.9013
_cell_angle_alpha 90.00
_cell_angle_beta 90.00
_cell_angle_gamma 90.00
_symmetry_space_group_name_H-M 'P 1'
_symmetry_Int_Tables_number 1
_symmetry_space_group_name_Hall 'P 1'
loop_
_atom_site_label
_atom_site_fract_x
_atom_site_fract_y
_atom_site_fract_z
Ag1 0.0000 0.0000 0.0000
Ag2 0.5000 0.5000 0.0000
Pb1 0.0000 0.5000 0.2588
Pb2 0.5000 0.0000 0.2588
Cl1 0.0000 0.0000 0.4759
Cl2 0.0000 0.5000 0.8653
Cl3 0.5000 0.0000 0.8653
Cl4 0.5000 0.5000 0.4759
```

Properties
N(E_F) in states/eV/f.u.: 1.46
Formation energy from raw total energies in eV per atom: -0.405
Space-group type: Cmm2
ρ in g/cm3: 6.156
Energy relative to the lowest polymorph listed for this composition in meV/atom: 92
Final energy in eV per atom: -2.968
Crystal system: orthorhombic

---

Entry 5:
First-principles (PBE) data for a relaxed LiAcEuAl crystal, as listed in Alexandria via LeMat-Bulk.

CIF file:
```
data_LiAcEuAl
_cell_length_a 7.8635
_cell_length_b 7.8635
_cell_length_c 7.8635
_cell_angle_alpha 90.00
_cell_angle_beta 90.00
_cell_angle_gamma 90.00
_symmetry_space_group_name_H-M 'P 1'
_symmetry_Int_Tables_number 1
_symmetry_space_group_name_Hall 'P 1'
loop_
_atom_site_label
_atom_site_fract_x
_atom_site_fract_y
_atom_site_fract_z
Li1 0.0000 0.0000 0.0000
Li2 0.0000 0.5000 0.5000
Li3 0.5000 0.0000 0.5000
Li4 0.5000 0.5000 0.0000
Ac1 0.2500 0.2500 0.7500
Ac2 0.2500 0.7500 0.2500
Ac3 0.7500 0.2500 0.2500
Ac4 0.7500 0.7500 0.7500
Eu1 0.2500 0.2500 0.2500
Eu2 0.2500 0.7500 0.7500
Eu3 0.7500 0.2500 0.7500
Eu4 0.7500 0.7500 0.2500
Al1 0.0000 0.0000 0.5000
Al2 0.0000 0.5000 0.0000
Al3 0.5000 0.0000 0.0000
Al4 0.5000 0.5000 0.5000
```

Properties
N(E_F) in states/eV/f.u.: 10.80
Space-group type: F-43m
ρ in g/cm3: 5.640
E_form in eV per formula unit: -0.431
Final energy in eV per atom: -5.118
Crystal system: cubic

---

Entry 6:
First-principles (PBE) data for a relaxed CaRuW2 crystal, as listed in Alexandria via LeMat-Bulk.

CIF file:
```
data_CaRuW2
_cell_length_a 3.1230
_cell_length_b 4.5080
_cell_length_c 4.8997
_cell_angle_alpha 90.00
_cell_angle_beta 90.00
_cell_angle_gamma 90.00
_symmetry_space_group_name_H-M 'P 1'
_symmetry_Int_Tables_number 1
_symmetry_space_group_name_Hall 'P 1'
loop_
_atom_site_label
_atom_site_fract_x
_atom_site_fract_y
_atom_site_fract_z
Ca1 0.0000 0.0000 0.0000
Ru1 0.5000 0.5000 0.0000
W1 0.0000 0.5000 0.5000
W2 0.5000 0.0000 0.5000
```

Properties
N(E_F) in states/eV/f.u.: 4.45
Space-group type: Pmmm
ρ in g/cm3: 12.249
E_form in eV per formula unit: 2.549
Energy relative to the lowest polymorph listed for this composition in meV/atom: 185
Final energy in eV per atom: -8.659
Crystal system: orthorhombic

---

Entry 7:
First-principles (PBE) data for a relaxed Zr3PbSe crystal, as listed in Alexandria via LeMat-Bulk.

CIF file:
```
data_Zr3PbSe
_cell_length_a 7.6702
_cell_length_b 7.6702
_cell_length_c 4.2203
_cell_angle_alpha 90.00
_cell_angle_beta 90.00
_cell_angle_gamma 101.95
_symmetry_space_group_name_H-M 'P 1'
_symmetry_Int_Tables_number 1
_symmetry_space_group_name_Hall 'P 1'
loop_
_atom_site_label
_atom_site_fract_x
_atom_site_fract_y
_atom_site_fract_z
Zr1 0.1832 0.8168 0.0000
Zr2 0.1886 0.4423 0.5000
Zr3 0.4423 0.1886 0.5000
Zr4 0.5577 0.8114 0.5000
Zr5 0.8114 0.5577 0.5000
Zr6 0.8168 0.1832 0.0000
Pb1 0.0000 0.0000 0.5000
Pb2 0.5000 0.5000 0.0000
Se1 0.0000 0.5000 0.0000
Se2 0.5000 0.0000 0.0000
```

Properties
N(E_F) in states/eV/f.u.: 4.24
Formation energy from raw total energies in eV per atom: -0.397
Space-group type: Cmmm
ρ in g/cm3: 7.654
Energy relative to the lowest polymorph listed for this composition in meV/atom: 0
Final energy in eV per atom: -6.964
Crystal system: orthorhombic

---

Entry 8:
First-principles (PBE) data for a relaxed Sr2AgSn4Ir3 crystal, as listed in Alexandria via LeMat-Bulk.

CIF file:
```
data_Sr2AgSn4Ir3
_cell_length_a 4.6695
_cell_length_b 4.6695
_cell_length_c 10.7883
_cell_angle_alpha 90.00
_cell_angle_beta 90.00
_cell_angle_gamma 90.00
_symmetry_space_group_name_H-M 'P 1'
_symmetry_Int_Tables_number 1
_symmetry_space_group_name_Hall 'P 1'
loop_
_atom_site_label
_atom_site_fract_x
_atom_site_fract_y
_atom_site_fract_z
Sr1 0.0000 0.5000 0.2504
Sr2 0.5000 0.0000 0.7496
Ag1 0.0000 0.0000 0.5000
Sn1 0.0000 0.0000 0.0000
Sn2 0.0000 0.5000 0.6312
Sn3 0.5000 0.0000 0.3688
Sn4 0.5000 0.5000 0.0000
Ir1 0.0000 0.5000 0.8751
Ir2 0.5000 0.0000 0.1249
Ir3 0.5000 0.5000 0.5000
```

Properties
N(E_F) in states/eV/f.u.: 7.00
Space-group type: P-4m2
ρ in g/cm3: 9.421
E_form in eV per formula unit: -4.126
Final energy in eV per atom: -5.293
Crystal system: tetragonal

---

Entry 9:
First-principles (PBE) data for a relaxed NaTlB2F8 crystal, as listed in Alexandria via LeMat-Bulk.

CIF file:
```
data_NaTlB2F8
_cell_length_a 5.1689
_cell_length_b 5.1689
_cell_length_c 8.1247
_cell_angle_alpha 90.00
_cell_angle_beta 90.00
_cell_angle_gamma 120.00
_symmetry_space_group_name_H-M 'P 1'
_symmetry_Int_Tables_number 1
_symmetry_space_group_name_Hall 'P 1'
loop_
_atom_site_label
_atom_site_fract_x
_atom_site_fract_y
_atom_site_fract_z
Na1 0.0000 0.0000 0.0000
Tl1 0.0000 0.0000 0.5000
B1 0.3333 0.6667 0.2385
B2 0.6667 0.3333 0.7615
F1 0.1081 0.3835 0.1823
F2 0.2754 0.8919 0.1823
F3 0.3333 0.6667 0.4143
F4 0.3835 0.2754 0.8177
F5 0.6165 0.7246 0.1823
F6 0.6667 0.3333 0.5857
F7 0.7246 0.1081 0.8177
F8 0.8919 0.6165 0.8177
```

Properties
N(E_F) in states/eV/f.u.: 0.00
Formation energy from raw total energies in eV per atom: -2.800
Space-group type: P-3
ρ in g/cm3: 3.542
Final energy in eV per atom: -5.468
Crystal system: trigonal

---

Entry 10:
First-principles (PBE) data for a relaxed NaSm2NbO6 crystal, as listed in Alexandria via LeMat-Bulk.

CIF file:
```
data_NaSm2NbO6
_cell_length_a 6.0306
_cell_length_b 6.0306
_cell_length_c 6.0306
_cell_angle_alpha 57.35
_cell_angle_beta 57.35
_cell_angle_gamma 57.35
_symmetry_space_group_name_H-M 'P 1'
_symmetry_Int_Tables_number 1
_symmetry_space_group_name_Hall 'P 1'
loop_
_atom_site_label
_atom_site_fract_x
_atom_site_fract_y
_atom_site_fract_z
Na1 0.0000 0.0000 0.0000
Sm1 0.2750 0.2750 0.2750
Sm2 0.7754 0.7754 0.7754
Nb1 0.4861 0.4861 0.4861
O1 0.1226 0.6608 0.3949
O2 0.2289 0.5865 0.8287
O3 0.3949 0.1226 0.6608
O4 0.5865 0.8287 0.2289
O5 0.6608 0.3949 0.1226
O6 0.8287 0.2289 0.5865
```

Properties
N(E_F) in states/eV/f.u.: 0.00
Formation energy from raw total energies in eV per atom: -2.917
Space-group type: R3
ρ in g/cm3: 5.846
Final energy in eV per atom: -7.974
Crystal system: trigonal

---

Record order is preserved below.
Total magnetic moment: 0.0898 0.0000 0.0002 0.0000 1.8501 0.0000 0.0000 0.0000 0.0000 0.0000 μB per atom